# 1
Entry from Alexandria via LeMat-Bulk: AlHg2Se at its PBEsol-relaxed geometry (SCAN).

Structure (CIF):
```
data_AlHg2Se
_chemical_formula_sum 'Al2 Hg4 Se2'
_cell_length_a 3.7557
_cell_length_b 5.8239
_cell_length_c 8.3641
_cell_angle_alpha 90.00
_cell_angle_beta 90.00
_cell_angle_gamma 90.00
_symmetry_space_group_name_H-M 'C m m 2'
_symmetry_Int_Tables_number 35
_symmetry_space_group_name_Hall 'C 2 -2'
loop_
_atom_site_label
_atom_site_fract_x
_atom_site_fract_y
_atom_site_fract_z
Al1 0.0000 0.0000 0.0000
Hg1 0.0000 0.0000 0.5163
Hg2 0.0000 0.5000 0.2408
Se1 0.0000 0.5000 0.8179
```

Properties
- Uncorrected formation energy: -2.16 kcal/mol of atoms
- M_tot: 0.00 μB/atom
- Raw total energy: -329.074 eV/cell

=====

# 2
Entry from Alexandria via LeMat-Bulk: AlHgSe2 at its PBEsol-relaxed geometry (SCAN).

Structure (CIF):
```
data_AlHgSe2
_chemical_formula_sum 'Al3 Hg3 Se6'
_cell_length_a 3.6783
_cell_length_b 3.6783
_cell_length_c 24.8570
_cell_angle_alpha 90.00
_cell_angle_beta 90.00
_cell_angle_gamma 120.00
_symmetry_space_group_name_H-M 'R -3 m'
_symmetry_Int_Tables_number 166
_symmetry_space_group_name_Hall '-R 3 2"'
loop_
_atom_site_label
_atom_site_fract_x
_atom_site_fract_y
_atom_site_fract_z
Al1 0.0000 0.0000 0.0000
Hg1 0.0000 0.0000 0.5000
Se1 0.0000 0.0000 0.3888
```

Properties
- Uncorrected formation energy: -11.44 kcal/mol of atoms
- Energy relative to the lowest polymorph listed for this composition: 0 meV/atom
- M_tot: 0.00 μB/atom
- Raw total energy: -354.177 eV/cell

=====

# 3
Entry from Alexandria via LeMat-Bulk: AlSiHg2 at its PBEsol-relaxed geometry (SCAN).

Structure (CIF):
```
data_AlSiHg2
_chemical_formula_sum 'Al2 Si2 Hg4'
_cell_length_a 4.1042
_cell_length_b 4.1042
_cell_length_c 9.2614
_cell_angle_alpha 90.00
_cell_angle_beta 90.00
_cell_angle_gamma 90.00
_symmetry_space_group_name_H-M 'I -4 m 2'
_symmetry_Int_Tables_number 119
_symmetry_space_group_name_Hall 'I -4 -2'
loop_
_atom_site_label
_atom_site_fract_x
_atom_site_fract_y
_atom_site_fract_z
Al1 0.0000 0.0000 0.0000
Si1 0.0000 0.5000 0.7500
Hg1 0.0000 0.0000 0.5000
Hg2 0.0000 0.5000 0.2500
```

Properties
- Uncorrected formation energy: 10.27 kcal/mol of atoms
- M_tot: 0.00 μB/atom
- Raw total energy: -304.636 eV/cell

=====

# 4
Entry from Alexandria via LeMat-Bulk: AlSi2Hg at its PBEsol-relaxed geometry (SCAN).

Structure (CIF):
```
data_AlSi2Hg
_chemical_formula_sum 'Al3 Si6 Hg3'
_cell_length_a 2.8584
_cell_length_b 2.8584
_cell_length_c 30.2151
_cell_angle_alpha 90.00
_cell_angle_beta 90.00
_cell_angle_gamma 120.00
_symmetry_space_group_name_H-M 'R -3 m'
_symmetry_Int_Tables_number 166
_symmetry_space_group_name_Hall '-R 3 2"'
loop_
_atom_site_label
_atom_site_fract_x
_atom_site_fract_y
_atom_site_fract_z
Al1 0.0000 0.0000 0.0000
Si1 0.0000 0.0000 0.2625
Hg1 0.0000 0.0000 0.5000
```

Properties
- Uncorrected formation energy: 11.33 kcal/mol of atoms
- Energy relative to the lowest polymorph listed for this composition: 2 meV/atom
- M_tot: 0.00 μB/atom
- Raw total energy: -281.953 eV/cell

=====

# 5
Entry from Alexandria via LeMat-Bulk: AlSiHg2 at its PBEsol-relaxed geometry (SCAN).

Structure (CIF):
```
data_AlSiHg2
_chemical_formula_sum 'Al2 Si2 Hg4'
_cell_length_a 4.2142
_cell_length_b 4.2142
_cell_length_c 8.7629
_cell_angle_alpha 90.00
_cell_angle_beta 90.00
_cell_angle_gamma 90.00
_symmetry_space_group_name_H-M 'I 4/m m m'
_symmetry_Int_Tables_number 139
_symmetry_space_group_name_Hall '-I 4 2'
loop_
_atom_site_label
_atom_site_fract_x
_atom_site_fract_y
_atom_site_fract_z
Al1 0.0000 0.0000 0.0000
Si1 0.0000 0.0000 0.5000
Hg1 0.0000 0.5000 0.2500
```

Properties
- Uncorrected formation energy: 10.54 kcal/mol of atoms
- M_tot: 0.00 μB/atom
- Raw total energy: -304.543 eV/cell

=====

# 6
Entry from Alexandria via LeMat-Bulk: AlSi2Hg at its PBEsol-relaxed geometry (SCAN).

Structure (CIF):
```
data_AlSi2Hg
_chemical_formula_sum 'Al1 Si2 Hg1'
_cell_length_a 2.7650
_cell_length_b 2.7650
_cell_length_c 9.4155
_cell_angle_alpha 90.00
_cell_angle_beta 90.00
_cell_angle_gamma 90.00
_symmetry_space_group_name_H-M 'P 4/m m m'
_symmetry_Int_Tables_number 123
_symmetry_space_group_name_Hall '-P 4 2'
loop_
_atom_site_label
_atom_site_fract_x
_atom_site_fract_y
_atom_site_fract_z
Al1 0.0000 0.0000 0.0000
Si1 0.5000 0.5000 0.2061
Hg1 0.0000 0.0000 0.5000
```

Properties
- Uncorrected formation energy: 11.27 kcal/mol of atoms
- Energy relative to the lowest polymorph listed for this composition: 0 meV/atom
- M_tot: 0.00 μB/atom
- Raw total energy: -93.994 eV/cell

=====

# 7
Entry from Alexandria via LeMat-Bulk: Al2SnHg2 at its PBEsol-relaxed geometry (SCAN).

Structure (CIF):
```
data_Al2SnHg2
_chemical_formula_sum 'Al4 Sn2 Hg4'
_cell_length_a 4.2008
_cell_length_b 4.2008
_cell_length_c 12.3075
_cell_angle_alpha 90.00
_cell_angle_beta 90.00
_cell_angle_gamma 90.00
_symmetry_space_group_name_H-M 'I 4/m m m'
_symmetry_Int_Tables_number 139
_symmetry_space_group_name_Hall '-I 4 2'
loop_
_atom_site_label
_atom_site_fract_x
_atom_site_fract_y
_atom_site_fract_z
Al1 0.0000 0.5000 0.2500
Sn1 0.0000 0.0000 0.0000
Hg1 0.0000 0.0000 0.3876
```

Properties
- M_tot: 0.00 μB/atom
- Formation energy from the elements: 0.1164 eV per atom
- Raw total energy: -374.350 eV/cell

=====

# 8
Entry from Alexandria via LeMat-Bulk: Al3SnHg at its PBEsol-relaxed geometry (SCAN).

Structure (CIF):
```
data_Al3SnHg
_chemical_formula_sum 'Al3 Sn1 Hg1'
_cell_length_a 4.9861
_cell_length_b 4.9861
_cell_length_c 4.9861
_cell_angle_alpha 90.00
_cell_angle_beta 90.00
_cell_angle_gamma 90.00
_symmetry_space_group_name_H-M 'P m -3 m'
_symmetry_Int_Tables_number 221
_symmetry_space_group_name_Hall '-P 4 2 3'
loop_
_atom_site_label
_atom_site_fract_x
_atom_site_fract_y
_atom_site_fract_z
Al1 0.0000 0.0000 0.5000
Sn1 0.5000 0.5000 0.5000
Hg1 0.0000 0.0000 0.0000
```

Properties
- M_tot: 0.00 μB/atom
- Formation energy from the elements: 0.5545 eV per atom
- Raw total energy: -124.570 eV/cell

=====

# 9
Entry from Alexandria via LeMat-Bulk: SrAl2Hg at its PBEsol-relaxed geometry (SCAN).

Structure (CIF):
```
data_SrAl2Hg
_chemical_formula_sum 'Sr2 Al4 Hg2'
_cell_length_a 4.9054
_cell_length_b 5.2012
_cell_length_c 7.1985
_cell_angle_alpha 90.00
_cell_angle_beta 90.00
_cell_angle_gamma 90.00
_symmetry_space_group_name_H-M 'I m m 2'
_symmetry_Int_Tables_number 44
_symmetry_space_group_name_Hall 'I 2 -2'
loop_
_atom_site_label
_atom_site_fract_x
_atom_site_fract_y
_atom_site_fract_z
Sr1 0.0000 0.0000 0.0000
Al1 0.0000 0.0000 0.5054
Al2 0.0000 0.5000 0.2363
Hg1 0.0000 0.5000 0.7640
```

Properties
- Energy relative to the lowest polymorph listed for this composition: 175 meV/atom
- M_tot: 0.00 μB/atom
- Formation energy from the elements: -0.1290 eV per atom
- Raw total energy: -212.922 eV/cell

=====

# 10
Entry from Alexandria via LeMat-Bulk: SrAl2Hg at its PBEsol-relaxed geometry (SCAN).

Structure (CIF):
```
data_SrAl2Hg
_chemical_formula_sum 'Sr3 Al6 Hg3'
_cell_length_a 4.4449
_cell_length_b 4.4449
_cell_length_c 17.6013
_cell_angle_alpha 90.00
_cell_angle_beta 90.00
_cell_angle_gamma 120.00
_symmetry_space_group_name_H-M 'R -3 m'
_symmetry_Int_Tables_number 166
_symmetry_space_group_name_Hall '-R 3 2"'
loop_
_atom_site_label
_atom_site_fract_x
_atom_site_fract_y
_atom_site_fract_z
Sr1 0.0000 0.0000 0.0000
Al1 0.0000 0.0000 0.2125
Hg1 0.0000 0.0000 0.5000
```

Properties
- Energy relative to the lowest polymorph listed for this composition: 0 meV/atom
- M_tot: 0.00 μB/atom
- Formation energy from the elements: -0.3038 eV per atom
- Raw total energy: -321.480 eV/cell

=====

# 11
Entry from Alexandria via LeMat-Bulk: SrAl2Hg2 at its PBEsol-relaxed geometry (SCAN).

Structure (CIF):
```
data_SrAl2Hg2
_chemical_formula_sum 'Sr2 Al4 Hg4'
_cell_length_a 4.3323
_cell_length_b 4.3323
_cell_length_c 12.1790
_cell_angle_alpha 90.00
_cell_angle_beta 90.00
_cell_angle_gamma 90.00
_symmetry_space_group_name_H-M 'I 4/m m m'
_symmetry_Int_Tables_number 139
_symmetry_space_group_name_Hall '-I 4 2'
loop_
_atom_site_label
_atom_site_fract_x
_atom_site_fract_y
_atom_site_fract_z
Sr1 0.0000 0.0000 0.0000
Al1 0.0000 0.5000 0.2500
Hg1 0.0000 0.0000 0.3833
```

Properties
- M_tot: 0.00 μB/atom
- Formation energy from the elements: -0.5064 eV per atom
- Raw total energy: -353.285 eV/cell

=====

# 12
Entry from Alexandria via LeMat-Bulk: Sr2AlHg at its PBEsol-relaxed geometry (SCAN).

Structure (CIF):
```
data_Sr2AlHg
_chemical_formula_sum 'Sr8 Al4 Hg4'
_cell_length_a 7.8263
_cell_length_b 7.8263
_cell_length_c 7.8263
_cell_angle_alpha 90.00
_cell_angle_beta 90.00
_cell_angle_gamma 90.00
_symmetry_space_group_name_H-M 'F m -3 m'
_symmetry_Int_Tables_number 225
_symmetry_space_group_name_Hall '-F 4 2 3'
loop_
_atom_site_label
_atom_site_fract_x
_atom_site_fract_y
_atom_site_fract_z
Sr1 0.2500 0.2500 0.2500
Al1 0.0000 0.0000 0.0000
Hg1 0.0000 0.0000 0.5000
```

Properties
- Energy relative to the lowest polymorph listed for this composition: 17 meV/atom
- M_tot: 0.00 μB/atom
- Formation energy from the elements: -0.3856 eV per atom
- Raw total energy: -488.042 eV/cell

=====

# 13
Entry from Alexandria via LeMat-Bulk: Sr2AlHg at its PBEsol-relaxed geometry (SCAN).

Structure (CIF):
```
data_Sr2AlHg
_chemical_formula_sum 'Sr2 Al1 Hg1'
_cell_length_a 5.5784
_cell_length_b 5.5784
_cell_length_c 3.8410
_cell_angle_alpha 90.00
_cell_angle_beta 90.00
_cell_angle_gamma 90.00
_symmetry_space_group_name_H-M 'P 4/m m m'
_symmetry_Int_Tables_number 123
_symmetry_space_group_name_Hall '-P 4 2'
loop_
_atom_site_label
_atom_site_fract_x
_atom_site_fract_y
_atom_site_fract_z
Sr1 0.0000 0.5000 0.0000
Al1 0.0000 0.0000 0.5000
Hg1 0.5000 0.5000 0.5000
```

Properties
- Energy relative to the lowest polymorph listed for this composition: 13 meV/atom
- M_tot: 0.00 μB/atom
- Formation energy from the elements: -0.3891 eV per atom
- Raw total energy: -122.025 eV/cell

=====

# 14
Entry from Alexandria via LeMat-Bulk: SrAlHg at its PBEsol-relaxed geometry (SCAN).

Structure (CIF):
```
data_SrAlHg
_chemical_formula_sum 'Sr4 Al4 Hg4'
_cell_length_a 6.9864
_cell_length_b 6.9864
_cell_length_c 6.9864
_cell_angle_alpha 90.00
_cell_angle_beta 90.00
_cell_angle_gamma 90.00
_symmetry_space_group_name_H-M 'F -4 3 m'
_symmetry_Int_Tables_number 216
_symmetry_space_group_name_Hall 'F -4 2 3'
loop_
_atom_site_label
_atom_site_fract_x
_atom_site_fract_y
_atom_site_fract_z
Sr1 0.0000 0.0000 0.0000
Al1 0.2500 0.2500 0.7500
Hg1 0.0000 0.0000 0.5000
```

Properties
- Energy relative to the lowest polymorph listed for this composition: 382 meV/atom
- M_tot: 0.00 μB/atom
- Formation energy from the elements: -0.1236 eV per atom
- Raw total energy: -394.255 eV/cell

=====

# 15
Entry from Alexandria via LeMat-Bulk: Sr2AlHg at its PBEsol-relaxed geometry (SCAN).

Structure (CIF):
```
data_Sr2AlHg
_chemical_formula_sum 'Sr4 Al2 Hg2'
_cell_length_a 4.8180
_cell_length_b 4.8180
_cell_length_c 9.9696
_cell_angle_alpha 90.00
_cell_angle_beta 90.00
_cell_angle_gamma 90.00
_symmetry_space_group_name_H-M 'I -4 m 2'
_symmetry_Int_Tables_number 119
_symmetry_space_group_name_Hall 'I -4 -2'
loop_
_atom_site_label
_atom_site_fract_x
_atom_site_fract_y
_atom_site_fract_z
Sr1 0.0000 0.0000 0.0000
Sr2 0.0000 0.5000 0.2500
Al1 0.0000 0.0000 0.5000
Hg1 0.0000 0.5000 0.7500
```

Properties
- Energy relative to the lowest polymorph listed for this composition: 221 meV/atom
- M_tot: 0.00 μB/atom
- Formation energy from the elements: -0.1806 eV per atom
- Raw total energy: -242.381 eV/cell

=====

# 16
Entry from Alexandria via LeMat-Bulk: Sr2AlHg at its PBEsol-relaxed geometry (SCAN).

Structure (CIF):
```
data_Sr2AlHg
_chemical_formula_sum 'Sr6 Al3 Hg3'
_cell_length_a 4.6371
_cell_length_b 4.6371
_cell_length_c 23.1704
_cell_angle_alpha 90.00
_cell_angle_beta 90.00
_cell_angle_gamma 120.00
_symmetry_space_group_name_H-M 'R 3 m'
_symmetry_Int_Tables_number 160
_symmetry_space_group_name_Hall 'R 3 -2"'
loop_
_atom_site_label
_atom_site_fract_x
_atom_site_fract_y
_atom_site_fract_z
Sr1 0.0000 0.0000 0.0000
Sr2 0.0000 0.0000 0.1786
Al1 0.0000 0.0000 0.7569
Hg1 0.0000 0.0000 0.4217
```

Properties
- Energy relative to the lowest polymorph listed for this composition: 0 meV/atom
- M_tot: 0.00 μB/atom
- Formation energy from the elements: -0.4021 eV per atom
- Raw total energy: -366.230 eV/cell